No. 1
BeCuSe2: single point on PBEsol structure, meta-GGA SCAN.

```
data_BeCuSe2
_chemical_formula_sum 'Be4 Cu4 Se8'
_cell_length_a 5.313
_cell_length_b 5.313
_cell_length_c 10.357
_cell_angle_alpha 90.00
_cell_angle_beta 90.00
_cell_angle_gamma 90.00
_space_group_name_H-M_alt 'I -4 2 d'
_space_group_IT_number 122
_space_group_name_Hall 'I -4 2bw'
loop_
_atom_site_label
_atom_site_type_symbol
_atom_site_fract_x
_atom_site_fract_y
_atom_site_fract_z
Be1 Be 0.000 0.000 0.000
Cu1 Cu 0.000 0.000 0.500
Se1 Se 0.228 0.250 0.125
```

The calculation puts the formation energy from raw total energies at -483 meV/atom. For the magnetization, the calculation gives 0.007 μB/atom. For the calculated volume, the calculation gives 18.273 Å³/atom.

No. 2
ReNiP: single point on PBEsol structure, meta-GGA SCAN.

```
data_ReNiP
_chemical_formula_sum 'Re4 Ni4 P4'
_cell_length_a 5.400
_cell_length_b 5.400
_cell_length_c 5.400
_cell_angle_alpha 90.00
_cell_angle_beta 90.00
_cell_angle_gamma 90.00
_space_group_name_H-M_alt 'F -4 3 m'
_space_group_IT_number 216
_space_group_name_Hall 'F -4 2 3'
loop_
_atom_site_label
_atom_site_type_symbol
_atom_site_fract_x
_atom_site_fract_y
_atom_site_fract_z
Re1 Re 0.000 0.000 0.000
Ni1 Ni 0.000 0.000 0.500
P1 P 0.250 0.250 0.250
```

As for the formation energy from the elements: -0.22 eV/atom. For the magnetization, the calculation gives 0.000 μB/atom. For the calculated volume, the calculation gives 13.123 Å³/atom.

No. 3
Sr2ReHg: single point on PBEsol structure, meta-GGA SCAN.

```
data_Sr2ReHg
_chemical_formula_sum 'Sr2 Re1 Hg1'
_cell_length_a 3.086
_cell_length_b 5.320
_cell_length_c 5.947
_cell_angle_alpha 90.00
_cell_angle_beta 90.00
_cell_angle_gamma 90.00
_space_group_name_H-M_alt 'P m m 2'
_space_group_IT_number 25
_space_group_name_Hall 'P 2 -2'
loop_
_atom_site_label
_atom_site_type_symbol
_atom_site_fract_x
_atom_site_fract_y
_atom_site_fract_z
Sr1 Sr 0.000 0.000 0.000
Sr2 Sr 0.000 0.500 0.371
Re1 Re 0.500 0.000 0.529
Hg1 Hg 0.500 0.500 0.836
```

As for the formation energy from the elements: 0.62 eV/atom. For the magnetization, the calculation gives 0.000 μB/atom. For the calculated volume, the calculation gives 24.405 Å³/atom.